Entry 1:
First-principles (PBE-GGA) data for an optimized crystal structure of TmScCo, as listed in the Open Quantum Materials Database.

**Symmetry**: F-43m
**Total magnetic moment**: 0.0 μB per cell
**Formation enthalpy at 0 K**: 2.04 eV/f.u.

Cell lengths 6.334, 6.334, 6.334 Å; angles 90.00, 90.00, 90.00 degrees
Atoms (fractional coordinates):
1 Tm 0.000 0.000 0.000
2 Tm 0.000 0.500 0.500
3 Tm 0.500 0.000 0.500
4 Tm 0.500 0.500 0.000
5 Sc 0.250 0.250 0.750
6 Sc 0.250 0.750 0.250
7 Sc 0.750 0.250 0.250
8 Sc 0.750 0.750 0.750
9 Co 0.000 0.000 0.500
10 Co 0.000 0.500 0.000
11 Co 0.500 0.000 0.000
12 Co 0.500 0.500 0.500


Entry 2:
First-principles (PBE-GGA) data for an optimized crystal structure of Tl4AsPAu2, as listed in the Open Quantum Materials Database.

**Symmetry**: Amm2
**E_tot**: -52.4 eV for the cell shown

Cell lengths 6.519, 10.316, 6.487 Å; angles 90.00, 90.00, 90.00 degrees
Atoms (fractional coordinates):
1 Tl 0.000 0.176 0.000
2 Tl 0.000 0.324 0.500
3 Tl 0.000 0.676 0.500
4 Tl 0.000 0.824 0.000
5 Tl 0.500 0.181 0.647
6 Tl 0.500 0.319 0.147
7 Tl 0.500 0.681 0.147
8 Tl 0.500 0.819 0.647
9 As 0.500 0.000 0.045
10 As 0.500 0.500 0.545
11 P 0.000 0.000 0.613
12 P 0.000 0.500 0.113
13 Au 0.247 0.000 0.341
14 Au 0.247 0.500 0.841
15 Au 0.753 0.000 0.341
16 Au 0.753 0.500 0.841


Entry 3:
First-principles (PBE-GGA) data for an optimized crystal structure of Zn2AgSn, as listed in the Open Quantum Materials Database.

**Symmetry**: F-43m
**E_tot**: -35.0 eV for the cell shown

Cell lengths 6.760, 6.760, 6.760 Å; angles 90.00, 90.00, 90.00 degrees
Atoms (fractional coordinates):
1 Zn 0.000 0.000 0.000
2 Zn 0.000 0.500 0.500
3 Zn 0.250 0.250 0.250
4 Zn 0.250 0.750 0.750
5 Zn 0.500 0.000 0.500
6 Zn 0.500 0.500 0.000
7 Zn 0.750 0.250 0.750
8 Zn 0.750 0.750 0.250
9 Ag 0.000 0.000 0.500
10 Ag 0.000 0.500 0.000
11 Ag 0.500 0.000 0.000
12 Ag 0.500 0.500 0.500
13 Sn 0.250 0.250 0.750
14 Sn 0.250 0.750 0.250
15 Sn 0.750 0.250 0.250
16 Sn 0.750 0.750 0.750


Entry 4:
First-principles (PBE-GGA) data for an optimized crystal structure of CsLuNb6Cl18, as listed in the Open Quantum Materials Database.

**Symmetry**: P-31c
**Total magnetic moment**: 0.0 μB per cell
**E_tot**: -275.7 eV for the cell shown

Cell lengths 9.265, 9.265, 17.316 Å; angles 90.00, 90.00, 120.00 degrees
Atoms (fractional coordinates):
1 Cs 0.333 0.667 0.250
2 Cs 0.667 0.333 0.750
3 Lu 0.333 0.667 0.750
4 Lu 0.667 0.333 0.250
5 Nb 0.041 0.199 0.569
6 Nb 0.041 0.842 0.931
7 Nb 0.158 0.199 0.931
8 Nb 0.158 0.959 0.569
9 Nb 0.199 0.041 0.069
10 Nb 0.199 0.158 0.431
11 Nb 0.801 0.842 0.569
12 Nb 0.801 0.959 0.931
13 Nb 0.842 0.041 0.431
14 Nb 0.842 0.801 0.069
15 Nb 0.959 0.158 0.069
16 Nb 0.959 0.801 0.431
17 Cl 0.048 0.237 0.338
18 Cl 0.048 0.811 0.162
19 Cl 0.089 0.454 0.663
20 Cl 0.089 0.636 0.837
21 Cl 0.142 0.422 0.001
22 Cl 0.142 0.720 0.499
23 Cl 0.189 0.237 0.162
24 Cl 0.189 0.952 0.338
25 Cl 0.237 0.048 0.838
26 Cl 0.237 0.189 0.662
27 Cl 0.280 0.422 0.499
28 Cl 0.280 0.858 0.001
29 Cl 0.364 0.454 0.837
30 Cl 0.364 0.911 0.663
31 Cl 0.422 0.142 0.501
32 Cl 0.422 0.280 0.999
33 Cl 0.454 0.089 0.163
34 Cl 0.454 0.364 0.337
35 Cl 0.546 0.636 0.663
36 Cl 0.546 0.911 0.837
37 Cl 0.578 0.720 0.001
38 Cl 0.578 0.858 0.499
39 Cl 0.636 0.089 0.337
40 Cl 0.636 0.546 0.163
41 Cl 0.720 0.142 0.999
42 Cl 0.720 0.578 0.501
43 Cl 0.763 0.811 0.338
44 Cl 0.763 0.952 0.162
45 Cl 0.811 0.048 0.662
46 Cl 0.811 0.763 0.838
47 Cl 0.858 0.280 0.501
48 Cl 0.858 0.578 0.999
49 Cl 0.911 0.364 0.163
50 Cl 0.911 0.546 0.337
51 Cl 0.952 0.189 0.838
52 Cl 0.952 0.763 0.662


Entry 5:
First-principles (PBE-GGA) data for an optimized crystal structure of ZrZnIn2, as listed in the Open Quantum Materials Database.

**Symmetry**: F-43m
**Total magnetic moment**: 0.2 μB per cell
**E_tot**: -58.6 eV for the cell shown

Cell lengths 7.040, 7.040, 7.040 Å; angles 90.00, 90.00, 90.00 degrees
Atoms (fractional coordinates):
1 Zr 0.000 0.000 0.000
2 Zr 0.000 0.500 0.500
3 Zr 0.500 0.000 0.500
4 Zr 0.500 0.500 0.000
5 Zn 0.250 0.250 0.250
6 Zn 0.250 0.750 0.750
7 Zn 0.750 0.250 0.750
8 Zn 0.750 0.750 0.250
9 In 0.000 0.000 0.500
10 In 0.000 0.500 0.000
11 In 0.250 0.250 0.750
12 In 0.250 0.750 0.250
13 In 0.500 0.000 0.000
14 In 0.500 0.500 0.500
15 In 0.750 0.250 0.250
16 In 0.750 0.750 0.750


Entry 6:
First-principles (PBE-GGA) data for an optimized crystal structure of BaNd2Se4, as listed in the Open Quantum Materials Database.

**Symmetry**: Cmcm
**Total magnetic moment**: 0.0 μB per cell
**E_tot**: -78.0 eV for the cell shown

Cell lengths 7.387, 7.387, 14.541 Å; angles 90.00, 90.00, 146.03 degrees
Atoms (fractional coordinates):
1 Ba 0.111 0.889 0.750
2 Ba 0.889 0.111 0.250
3 Nd 0.366 0.634 0.568
4 Nd 0.366 0.634 0.932
5 Nd 0.634 0.366 0.068
6 Nd 0.634 0.366 0.432
7 Se 0.000 0.000 0.000
8 Se 0.000 0.000 0.500
9 Se 0.268 0.732 0.115
10 Se 0.268 0.732 0.385
11 Se 0.444 0.556 0.750
12 Se 0.556 0.444 0.250
13 Se 0.732 0.268 0.615
14 Se 0.732 0.268 0.885